[1]
An optimized crystal structure of Ce3Th2. Source: the Alexandria database, functional PBE-GGA.

Calculated values
Energy relative to the elements, meV per atom: 157
Space group: R-3m, No. 166
Volume, A^3/atom: 29.1
M_tot, μB/f.u.: 0.62
Offset from the most stable computed form, meV/atom: 0
VASP energy, eV/cell: -31.86

```
Ce3Th2
1.0
5.5677 0.0000 0.0000
2.7838 4.8217 0.0000
2.7838 1.6072 5.4146
Ce Th
3 2
Direct
0.0000 0.0000 0.0000 Ce
0.8321 0.8321 0.5037 Ce
0.1679 0.1679 0.4963 Ce
0.3963 0.3963 0.8110 Th
0.6037 0.6037 0.1890 Th
```

---

[2]
An optimized crystal structure of Ba2ErAsO6. Source: the Alexandria database, functional PBE-GGA.

Calculated values
Space group: R-3m, No. 166
Volume, A^3/atom: 15.0
M_tot, μB/f.u.: 0.00
VASP energy, eV/cell: -135.99
Energy relative to the elements, uncorrected, eV per atom: -2.52

```
Ba2ErAsO6
1.0
5.9353 0.0000 0.0000
2.9677 5.1401 0.0000
2.9677 1.7134 9.8243
Ba Er As O
4 2 2 12
Direct
0.8674 0.8674 0.3977 Ba
0.1326 0.1326 0.6023 Ba
0.7177 0.7177 0.8468 Ba
0.2823 0.2823 0.1532 Ba
0.5956 0.5956 0.2133 Er
0.4044 0.4044 0.7867 Er
0.0000 0.0000 0.0000 As
0.5000 0.5000 0.5000 As
0.8366 0.3888 0.3857 O
0.3888 0.8366 0.3857 O
0.3888 0.3888 0.3857 O
0.1634 0.6112 0.6143 O
0.6112 0.1634 0.6143 O
0.6112 0.6112 0.6143 O
0.7368 0.1862 0.8908 O
0.1862 0.7368 0.8908 O
0.1862 0.1862 0.8908 O
0.2632 0.8138 0.1092 O
0.8138 0.2632 0.1092 O
0.8138 0.8138 0.1092 O
```

---

[3]
An optimized crystal structure of Li2MnCd. Source: the Alexandria database, functional PBE-GGA.

Calculated values
Energy relative to the elements, meV per atom: 171
Space group: Cmmm, No. 65
Volume, A^3/atom: 17.6
M_tot, μB/f.u.: 3.68
VASP energy, eV/cell: -13.23

```
Li2MnCd
1.0
-1.7991 1.9841 0.8597
0.4412 -1.9085 2.0188
7.2757 5.1688 3.2962
Cd Li Mn
1 2 1
Direct
0.5000 0.5000 0.7500 Cd
0.0000 0.0000 0.0109 Li
0.0000 0.0000 0.4891 Li
0.5000 0.5000 0.2500 Mn
```

---

[4]
An optimized crystal structure of SrCuNi2. Source: the Alexandria database, functional PBE-GGA.

Calculated values
Energy relative to the elements, meV per atom: -61
Space group: R-3m, No. 166
Volume, A^3/atom: 19.1
M_tot, μB/f.u.: 0.28
Offset from the most stable computed form, meV/atom: 9
VASP energy, eV/cell: -17.59

```
SrCuNi2
1.0
-1.7947 -0.4566 3.7186
-1.0089 -3.7905 1.3681
3.6693 -1.8607 3.8658
Sr Cu Ni
1 1 2
Direct
0.7500 0.7500 0.7500 Sr
0.2500 0.2500 0.2500 Cu
0.9338 0.9338 0.1985 Ni
0.5662 0.5662 0.3015 Ni
```

---

[5]
An optimized crystal structure of Pm3Tl3H2. Source: the Alexandria database, functional PBE-GGA.

Calculated values
Space group: Immm, No. 71
Volume, A^3/atom: 23.0
M_tot, μB/f.u.: 0.00
VASP energy, eV/cell: -30.95

```
Pm3Tl3H2
1.0
4.6875 0.0000 0.0000
0.0000 4.3386 0.0000
-2.3437 -2.1693 9.0549
Pm Tl H
3 3 2
Direct
0.1951 0.1951 0.3902 Pm
0.0000 0.5000 0.0000 Pm
0.8049 0.8049 0.6098 Pm
0.6260 0.6260 0.2521 Tl
0.3740 0.3740 0.7479 Tl
0.5000 0.0000 0.0000 Tl
0.7411 0.2411 0.4821 H
0.2589 0.7589 0.5179 H
```

---

[6]
An optimized crystal structure of Pr3SnI3. Source: the Alexandria database, functional PBE-GGA.

Calculated values
Space group: P2_1/m, No. 11
Volume, A^3/atom: 38.7
M_tot, μB/f.u.: 0.00
VASP energy, eV/cell: -61.56
Energy relative to the elements, uncorrected, eV per atom: -1.11

```
Pr3SnI3
1.0
-3.8959 1.4675 1.7985
-0.0853 -7.2805 5.7559
6.5879 6.5077 8.9609
Pr Sn I
6 2 6
Direct
0.2500 0.3424 0.6187 Pr
0.7500 0.6576 0.3813 Pr
0.2500 0.8862 0.6257 Pr
0.7500 0.1138 0.3743 Pr
0.2500 0.8840 0.1489 Pr
0.7500 0.1160 0.8511 Pr
0.2500 0.8822 0.3838 Sn
0.7500 0.1178 0.6162 Sn
0.2500 0.3852 0.3619 I
0.7500 0.6148 0.6381 I
0.2500 0.8633 0.8855 I
0.7500 0.1367 0.1145 I
0.2500 0.3633 0.8705 I
0.7500 0.6367 0.1295 I
```

---

Which of these has the lowest volume? Ba2ErAsO6